1.
Crystalline LiCaMn2 at its relaxed geometry. Source: Alexandria via LeMat-Bulk, functional PBE-GGA.

Cell lengths 3.7237, 4.4588, 4.7204 Å; angles 90.00, 90.00, 90.00 degrees
Each line ends with the local moment (μB).
Atoms (fractional coordinates):
Mn (0.5000, 0.5000, 0.0000)  3.70
Mn (0.0000, 0.0000, 0.0000)  3.58
Ca (0.5000, 0.0000, 0.5000)  -0.11
Li (0.0000, 0.5000, 0.5000)  -0.09

Computed properties:
Energy of formation from the pure elements   0.555 eV per atom
Energy above the lowest structure with this stoichiometry   227 meV/atom
Final energy   -20.03 eV/f.u.
Total moment   7.15 μB/cell
Calculated volume   19.59 Å³ per atom

***

2.
Crystalline GaCSe2 at its relaxed geometry. Source: Alexandria via LeMat-Bulk, functional PBE-GGA.

Cell lengths 8.7143, 8.7143, 8.7143 Å; angles 20.77, 20.77, 20.77 degrees
Atoms (fractional coordinates):
Se (0.1128, 0.1128, 0.1128)
Se (0.8872, 0.8872, 0.8872)
Ga (0.0000, 0.0000, 0.0000)
C (0.5000, 0.5000, 0.5000)

Computed properties:
Energy above the lowest structure with this stoichiometry   359 meV/atom
Final energy   -14.89 eV/f.u.
Total moment   0.00 μB/cell
Uncorrected formation energy   104 kJ per mole of atoms
Calculated volume   18.21 Å³ per atom

***

3.
Crystalline NaLi3F3 at its relaxed geometry. Source: Alexandria via LeMat-Bulk, functional PBE-GGA.

Cell lengths 5.6218, 5.6218, 8.8468 Å; angles 71.47, 71.47, 60.00 degrees
Atoms (fractional coordinates):
Li (0.5541, 0.2026, 0.3809)
Li (0.2026, 0.8624, 0.3809)
Li (0.7974, 0.1376, 0.6191)
Li (0.4459, 0.7974, 0.6191)
Li (0.1376, 0.4459, 0.6191)
Li (0.8624, 0.5541, 0.3809)
F (0.5293, 0.8869, 0.3707)
F (0.7869, 0.4707, 0.6293)
F (0.4707, 0.1131, 0.6293)
F (0.8869, 0.2131, 0.3707)
F (0.1131, 0.7869, 0.6293)
F (0.2131, 0.5293, 0.3707)
Na (0.6918, 0.6918, 0.9245)
Na (0.3082, 0.3082, 0.0755)

Computed properties:
Final energy   -29.48 eV/f.u.
Total moment   0.00 μB/cell
Uncorrected formation energy   -232 kJ per mole of atoms
Calculated volume   16.09 Å³ per atom

***

4.
Crystalline Ca2Ga5Au at its relaxed geometry. Source: Alexandria via LeMat-Bulk, functional PBE-GGA.

Cell lengths 6.2244, 6.2244, 6.2244 Å; angles 88.81, 120.69, 120.69 degrees
Atoms (fractional coordinates):
Ga (0.0000, 0.7535, 0.3237)
Ga (0.4298, 0.7535, 0.7535)
Ga (0.0000, 0.1624, 0.1624)
Ga (0.5702, 0.3237, 0.3237)
Ga (0.0000, 0.3237, 0.7535)
Ca (0.5000, 0.2891, 0.7891)
Ca (0.5000, 0.7891, 0.2891)
Au (0.0000, 0.8272, 0.8272)

Computed properties:
Energy of formation from the pure elements   -0.371 eV per atom
Energy above the lowest structure with this stoichiometry   129 meV/atom
Final energy   -25.38 eV/f.u.
Total moment   0.00 μB/cell
Calculated volume   21.09 Å³ per atom